1.
Here is CsSi2Bi2 after structural relaxation from Alexandria via LeMat-Bulk. Energies are from PBE-GGA.

**Uncorrected formation energy**: 152 meV per atom
**Energy relative to the lowest polymorph listed for this composition**: 0 meV per atom

CIF file:
```
data_CsSi2Bi2
_chemical_formula_sum 'Cs2 Si4 Bi4'
_cell_length_a 5.0739
_cell_length_b 5.0739
_cell_length_c 13.6213
_cell_angle_alpha 90.00
_cell_angle_beta 90.00
_cell_angle_gamma 90.00
_space_group_name_H-M_alt 'I 4/m m m'
_space_group_IT_number 139
_space_group_name_Hall '-I 4 2'
loop_
_atom_site_label
_atom_site_type_symbol
_atom_site_fract_x
_atom_site_fract_y
_atom_site_fract_z
Cs1 Cs 0.0000 0.0000 0.0000
Si1 Si 0.0000 0.5000 0.2500
Bi1 Bi 0.0000 0.0000 0.3479
```



2.
Here is CsSi2Bi after structural relaxation from Alexandria via LeMat-Bulk. Energies are from PBE-GGA.

**Uncorrected formation energy**: 381 meV per atom

CIF file:
```
data_CsSi2Bi
_chemical_formula_sum 'Cs4 Si8 Bi4'
_cell_length_a 5.2813
_cell_length_b 5.2813
_cell_length_c 20.2686
_cell_angle_alpha 90.00
_cell_angle_beta 90.00
_cell_angle_gamma 90.00
_space_group_name_H-M_alt 'I 41/a m d'
_space_group_IT_number 141
loop_
_space_group_symop_operation_xyz
'x,y,z'
'-x,-y,-z'
'-y+1/4,x+3/4,z+1/4'
'y+1/4,-x+3/4,-z+1/4'
'-x+1/2,-y,z+1/2'
'x+1/2,y,-z+1/2'
'y+1/4,-x+1/4,z+3/4'
'-y+1/4,x+1/4,-z+3/4'
'x,-y,-z'
'-x,y,z'
'-y+1/4,-x+1/4,-z+3/4'
'y+1/4,x+1/4,z+3/4'
'-x+1/2,y,-z+1/2'
'x+1/2,-y,z+1/2'
'y+1/4,x+3/4,-z+1/4'
'-y+1/4,-x+3/4,z+1/4'
'x+1/2,y+1/2,z+1/2'
'-x+1/2,-y+1/2,-z+1/2'
'-y+3/4,x+1/4,z+3/4'
'y+3/4,-x+1/4,-z+3/4'
'-x,-y+1/2,z'
'x,y+1/2,-z'
'y+3/4,-x+3/4,z+1/4'
'-y+3/4,x+3/4,-z+1/4'
'x+1/2,-y+1/2,-z+1/2'
'-x+1/2,y+1/2,z+1/2'
'-y+3/4,-x+3/4,-z+1/4'
'y+3/4,x+3/4,z+1/4'
'-x,y+1/2,-z'
'x,-y+1/2,z'
'y+3/4,x+1/4,-z+3/4'
'-y+3/4,-x+1/4,z+3/4'
loop_
_atom_site_label
_atom_site_type_symbol
_atom_site_fract_x
_atom_site_fract_y
_atom_site_fract_z
Cs1 Cs 0.0000 0.2500 0.3750
Si1 Si 0.0000 0.0000 0.0000
Bi1 Bi 0.0000 0.2500 0.8750
```



3.
Here is Cs3SiBi after structural relaxation from Alexandria via LeMat-Bulk. Energies are from PBE-GGA.

**Uncorrected formation energy**: 426 meV per atom
**Energy relative to the lowest polymorph listed for this composition**: 559 meV per atom

CIF file:
```
data_Cs3SiBi
_chemical_formula_sum 'Cs3 Si1 Bi1'
_cell_length_a 7.4085
_cell_length_b 7.4085
_cell_length_c 7.4085
_cell_angle_alpha 90.00
_cell_angle_beta 90.00
_cell_angle_gamma 90.00
_space_group_name_H-M_alt 'P m -3 m'
_space_group_IT_number 221
_space_group_name_Hall '-P 4 2 3'
loop_
_atom_site_label
_atom_site_type_symbol
_atom_site_fract_x
_atom_site_fract_y
_atom_site_fract_z
Cs1 Cs 0.0000 0.0000 0.5000
Si1 Si 0.5000 0.5000 0.5000
Bi1 Bi 0.0000 0.0000 0.0000
```



no.,total magnetic moment (μB per formula unit)
1,0.00
2,0.00
3,3.98